FeBiIO6: relaxed, PBE+U.

Cell lengths 5.3734, 5.3734, 9.8420 Å; angles 90.00, 90.00, 120.00 degrees
Closest atoms and distances in Å follow each position.
Fractional coordinates of all 18 atoms:
O  0.6190  0.9702  0.8598  1 I 1.92, 1 Fe 2.13
O  0.3810  0.3512  0.3598  1 I 1.92, 1 Fe 2.13
I  0.3333  0.6667  0.7500  6 O 1.92
O  0.9702  0.3512  0.1402  1 I 1.92, 1 Fe 2.13
O  0.0298  0.6488  0.8598  1 I 1.92, 1 Fe 2.13
Bi  0.0000  0.0000  0.0000  6 O 2.41
O  0.9702  0.6190  0.3598  1 I 1.92, 1 Fe 2.13
Fe  0.3333  0.6667  0.2500  6 O 2.13
O  0.3512  0.9702  0.6402  1 I 1.92, 1 Fe 2.13
O  0.3512  0.3810  0.8598  1 I 1.92, 1 Fe 2.13
O  0.6190  0.6488  0.6402  1 I 1.92, 1 Fe 2.13
Bi  0.0000  0.0000  0.5000  6 O 2.41
Fe  0.6667  0.3333  0.7500  6 O 2.13
I  0.6667  0.3333  0.2500  6 O 1.92
O  0.0298  0.3810  0.6402  1 I 1.92, 1 Fe 2.13
O  0.6488  0.6190  0.1402  1 I 1.92, 1 Fe 2.13
O  0.6488  0.0298  0.3598  1 I 1.92, 1 Fe 2.13
O  0.3810  0.0298  0.1402  1 I 1.92, 1 Fe 2.13

Results
energy = -0.396 Ry/atom
volume = 246.1 Å³/cell
crystal system = trigonal